(1)
First-principles (PBE-GGA) data for crystalline YHfNb at its relaxed geometry, as listed in the Alexandria database.

The structure belongs to space group Cm (No. 8); the cell edges are 10.821, 4.992 and 6.437 Å and the angles 90.00°, 124.94° and 90.00°. The asymmetric unit holds Y at (0.000, 0.000, 0.000), Y at (0.151, 0.500, 0.839), Hf at (0.205, 0.500, 0.404), Hf at (0.366, 0.000, 0.234), Nb at (0.283, 0.000, 0.627) and Nb at (0.490, 0.500, 0.461).

The value obtained for the spin magnetization is 0.00 μB per cell. As for the density of states at the Fermi level: 1.07 states/eV per atom. The formation energy is 212 meV per atom. The crystal system is monoclinic. As for the raw total energy: -0.317 Ha/atom.


(2)
First-principles (PBE-GGA) data for crystalline Zr3Sc2Cd at its relaxed geometry, as listed in the Alexandria database.

The structure belongs to space group C2/c (No. 15); the cell edges are 9.358, 11.865 and 4.999 Å and the angles 90.00°, 90.04° and 90.00°. The asymmetric unit holds Zr at (0.000, 0.055, 0.250), Zr at (0.167, 0.448, 0.747), Sc at (0.166, 0.180, 0.751) and Cd at (0.000, 0.319, 0.250).

The value obtained for the spin magnetization is 0.00 μB per cell. As for the density of states at the Fermi level: 1.27 states/eV per atom. The formation energy is 15 meV per atom. The crystal system is monoclinic. As for the raw total energy: -0.240 Ha/atom.


(3)
First-principles (PBE-GGA) data for crystalline SeN at its relaxed geometry, as listed in the Alexandria database.

The structure belongs to space group Pnma (No. 62); the cell edges are 9.734, 7.654 and 4.692 Å and the angles 90.00°, 90.00° and 90.00°. The asymmetric unit holds Se at (0.005, 0.250, 0.208), Se at (0.206, 0.250, 0.709), N at (0.031, 0.250, 0.587) and N at (0.182, 0.250, 0.087).

The value obtained for the spin magnetization is 0.00 μB per cell. As for the density of states at the Fermi level: 0.18 states/eV per atom. The crystal system is orthorhombic. The calculation puts the formation energy from raw total energies at 0.853 eV/atom. As for the raw total energy: -0.186 Ha/atom.


(4)
First-principles (PBE-GGA) data for crystalline TaCdH at its relaxed geometry, as listed in the Alexandria database.

The structure belongs to space group P1 (No. 1); the cell edges are 3.093, 3.128 and 4.994 Å and the angles 89.76°, 89.83° and 61.19°. The asymmetric unit holds Ta at (0.000, 0.000, 0.000), Cd at (0.668, 0.665, 0.511) and H at (0.333, 0.340, 0.088).

The value obtained for the spin magnetization is 0.00 μB per cell. As for the density of states at the Fermi level: 0.24 states/eV per atom. The crystal system is triclinic. As for the raw total energy: -0.196 Ha/atom.